# 1
# Rb2TiHgF6 (PBE, optimized geometry)
# ΔE to the lowest computed polymorph = 0.000 eV per atom
data_Rb2TiHgF6
_space_group_name_H-M_alt 'P -1'
_space_group_IT_number 2
_space_group_name_Hall '-P 1'
_cell_length_a 6.616
_cell_length_b 6.680
_cell_length_c 6.804
_cell_angle_alpha 64.76
_cell_angle_beta 63.92
_cell_angle_gamma 64.60
loop_
_atom_site_label
_atom_site_type_symbol
_atom_site_fract_x
_atom_site_fract_y
_atom_site_fract_z
Rb1 Rb 0.230 0.236 0.233
Ti1 Ti 0.000 0.000 0.000
Hg1 Hg 0.500 0.500 0.500
F1 F 0.024 0.881 0.300
F2 F 0.135 0.697 0.967
F3 F 0.303 0.039 0.882

# 2
Density functional theory data (PBE) for Rb2TlHgF after structural relaxation.

CIF file:
```
data_Rb2TlHgF
_space_group_name_H-M_alt 'P 4/m m m'
_space_group_IT_number 123
_space_group_name_Hall '-P 4 2'
_cell_length_a 5.494
_cell_length_b 5.494
_cell_length_c 5.753
_cell_angle_alpha 90.00
_cell_angle_beta 90.00
_cell_angle_gamma 90.00
loop_
_atom_site_label
_atom_site_type_symbol
_atom_site_fract_x
_atom_site_fract_y
_atom_site_fract_z
Rb1 Rb 0.000 0.500 0.000
Tl1 Tl 0.000 0.000 0.500
Hg1 Hg 0.500 0.500 0.500
F1 F 0.000 0.000 0.000
```

# 3
Density functional theory data (PBE) for Rb2TlHgF4 after structural relaxation.

CIF file:
```
data_Rb2TlHgF4
_space_group_name_H-M_alt 'I -4'
_space_group_IT_number 82
_space_group_name_Hall 'I -4'
_cell_length_a 6.923
_cell_length_b 6.923
_cell_length_c 8.494
_cell_angle_alpha 90.00
_cell_angle_beta 90.00
_cell_angle_gamma 90.00
loop_
_atom_site_label
_atom_site_type_symbol
_atom_site_fract_x
_atom_site_fract_y
_atom_site_fract_z
Rb1 Rb 0.000 0.000 0.000
Rb2 Rb 0.000 0.500 0.250
Tl1 Tl 0.000 0.000 0.500
Hg1 Hg 0.000 0.500 0.750
F1 F 0.231 0.255 0.635
```

# 4
Density functional theory data (PBE) for RbTlHgF6 after structural relaxation.

CIF file:
```
data_RbTlHgF6
_space_group_name_H-M_alt 'P 3 1 2'
_space_group_IT_number 149
_space_group_name_Hall 'P 3 2'
_cell_length_a 6.1676
_cell_length_b 6.1676
_cell_length_c 5.7561
_cell_angle_alpha 90.00
_cell_angle_beta 90.00
_cell_angle_gamma 120.00
loop_
_atom_site_label
_atom_site_type_symbol
_atom_site_fract_x
_atom_site_fract_y
_atom_site_fract_z
Rb1 Rb 0.0000 0.0000 0.0000
Tl1 Tl 0.3333 0.6667 0.5000
Hg1 Hg 0.6667 0.3333 0.5000
F1 F 0.0168 0.3819 0.7072
```

# 5
Density functional theory data (PBE) for Rb3Tl3HgF8 after structural relaxation.

CIF file:
```
data_Rb3Tl3HgF8
_space_group_name_H-M_alt 'R -3 m'
_space_group_IT_number 166
_space_group_name_Hall '-R 3 2"'
_cell_length_a 7.9795
_cell_length_b 7.9795
_cell_length_c 19.4361
_cell_angle_alpha 90.00
_cell_angle_beta 90.00
_cell_angle_gamma 120.00
loop_
_atom_site_label
_atom_site_type_symbol
_atom_site_fract_x
_atom_site_fract_y
_atom_site_fract_z
Rb1 Rb 0.0000 0.5000 0.0000
Tl1 Tl 0.0000 0.5000 0.5000
Hg1 Hg 0.0000 0.0000 0.0000
F1 F 0.0000 0.0000 0.2501
F2 F 0.0526 0.5263 0.7378
```

# 6
Density functional theory data (PBE) for Rb2Tl2HgF6 after structural relaxation.

CIF file:
```
data_Rb2Tl2HgF6
_space_group_name_H-M_alt 'C 1 2/m 1'
_space_group_IT_number 12
_space_group_name_Hall '-C 2y'
_cell_length_a 6.968
_cell_length_b 11.702
_cell_length_c 6.685
_cell_angle_alpha 90.00
_cell_angle_beta 106.66
_cell_angle_gamma 90.00
loop_
_atom_site_label
_atom_site_type_symbol
_atom_site_fract_x
_atom_site_fract_y
_atom_site_fract_z
Rb1 Rb 0.000 0.155 0.000
Tl1 Tl 0.000 0.337 0.500
Hg1 Hg 0.000 0.500 0.000
F1 F 0.190 0.353 0.196
F2 F 0.196 0.500 0.745
```

# 7
Density functional theory data (PBE) for Rb2TlHg2F6 after structural relaxation.

CIF file:
```
data_Rb2TlHg2F6
_space_group_name_H-M_alt 'C 1 2/m 1'
_space_group_IT_number 12
_space_group_name_Hall '-C 2y'
_cell_length_a 10.956
_cell_length_b 6.934
_cell_length_c 7.615
_cell_angle_alpha 90.00
_cell_angle_beta 119.77
_cell_angle_gamma 90.00
loop_
_atom_site_label
_atom_site_type_symbol
_atom_site_fract_x
_atom_site_fract_y
_atom_site_fract_z
Rb1 Rb 0.213 0.000 0.137
Tl1 Tl 0.000 0.000 0.500
Hg1 Hg 0.073 0.500 0.197
F1 F 0.069 0.233 0.766
F2 F 0.233 0.000 0.512
```

# 8
Density functional theory data (PBE) for Rb3TlHg2F9 after structural relaxation.

CIF file:
```
data_Rb3TlHg2F9
_space_group_name_H-M_alt 'P -3 m 1'
_space_group_IT_number 164
_space_group_name_Hall '-P 3 2"'
_cell_length_a 6.5750
_cell_length_b 6.5750
_cell_length_c 8.0766
_cell_angle_alpha 90.00
_cell_angle_beta 90.00
_cell_angle_gamma 120.00
loop_
_atom_site_label
_atom_site_type_symbol
_atom_site_fract_x
_atom_site_fract_y
_atom_site_fract_z
Rb1 Rb 0.0000 0.0000 0.0000
Rb2 Rb 0.3333 0.6667 0.6825
Tl1 Tl 0.0000 0.0000 0.5000
Hg1 Hg 0.3333 0.6667 0.1672
F1 F 0.0000 0.5000 0.0000
F2 F 0.1653 0.3307 0.3326
```

One value per record, in order, for energy relative to the elements, uncorrected: -2.902, -0.966, -1.902, -1.950, -2.070, -2.009, -1.850, -2.049 eV per atom.